# 1
Pr3SmDy2Se6 PBE optimized geometry; E_form (uncorrected) = -21.76 eV/f.u.; spin magnetization = 0.000 μB/atom
1.0
7.210 -0.017 -0.003
-3.618 6.237 -0.003
-1.201 -2.080 6.936
Se Dy Pr Sm
6 2 3 1
Direct
0.921 0.582 0.763
0.418 0.079 0.237
0.262 0.262 0.766
0.738 0.738 0.234
0.079 0.418 0.237
0.582 0.921 0.763
0.334 0.666 0.000
0.666 0.334 0.000
0.163 0.837 0.500
0.500 0.500 0.500
0.837 0.163 0.500
0.000 0.000 0.000

=====

# 2
Mn3Mo4 PBE optimized geometry; ΔH_f (0 K) = 0.9 eV/f.u.; spin magnetization = 0.566 μB/atom
1.0
-1.540 1.540 10.390
1.540 -1.540 10.390
1.540 1.540 -10.390
Mn Mo
3 4
Direct
0.716 0.716 0.000
0.284 0.284 0.000
0.000 0.000 0.000
0.149 0.149 0.000
0.429 0.429 0.000
0.571 0.571 0.000
0.851 0.851 0.000

=====

# 3
Ta2MnFeN PBE optimized geometry; E_form (uncorrected) = 4.14 eV/f.u.; spin magnetization = 0.369 μB/atom
1.0
-4.748 -0.246 -0.473
-0.296 -0.627 3.295
-0.329 4.688 0.862
Ta N Mn Fe
2 1 1 1
Direct
0.500 0.000 0.000
0.000 0.000 0.500
0.000 0.500 0.000
0.500 0.500 0.500
0.000 0.000 0.000

=====

# 4
PmNd2Rh3 PBE optimized geometry; ΔH_f (0 K) = -3.0 eV/f.u.; spin magnetization = 0.000 μB/atom
1.0
-1.268 -3.225 -2.194
4.876 -2.821 1.329
-4.497 0.706 5.395
Rh Pm Nd
3 1 2
Direct
0.665 0.665 0.330
0.000 0.000 0.000
0.335 0.335 0.670
0.000 0.500 0.000
0.333 0.833 0.666
0.667 0.167 0.334

=====

# 5
MgMnSiPt2 PBE optimized geometry; E_form (uncorrected) = -0.27 eV/f.u.; spin magnetization = 0.602 μB/atom
1.0
4.562 0.000 0.000
0.000 4.400 0.000
0.000 0.000 4.562
Pt Si Mg Mn
2 1 1 1
Direct
0.000 0.000 0.500
0.500 0.000 0.000
0.000 0.000 0.000
0.500 0.500 0.500
0.000 0.500 0.000

=====

# 6
MgSb2Ru PBE optimized geometry; E_form (uncorrected) = -0.09 eV/f.u.; spin magnetization = 0.000 μB/atom
1.0
8.394 -0.001 -0.001
7.649 3.458 -0.001
7.649 1.648 3.040
Mg Sb Ru
1 2 1
Direct
0.250 0.250 0.250
0.489 0.489 0.489
0.011 0.011 0.011
0.750 0.750 0.750

=====

# 7
K3Sc3PaS8 PBE optimized geometry; E_form (uncorrected) = -25.99 eV/f.u.; spin magnetization = 0.071 μB/atom
1.0
7.706 0.000 0.000
-3.853 6.673 -0.026
0.000 -4.423 7.460
S K Sc Pa
8 3 3 1
Direct
0.730 0.460 0.690
0.278 0.042 0.307
0.236 0.471 0.693
0.236 0.958 0.693
0.722 0.958 0.693
0.270 0.540 0.310
0.764 0.529 0.307
0.764 0.042 0.307
0.500 0.500 0.000
0.000 0.000 0.000
0.000 0.500 0.000
0.000 0.500 0.500
0.500 0.500 0.500
0.500 0.000 0.500
0.000 0.000 0.500

=====

# 8
Mo2OsRh PBE optimized geometry; ΔH_f (0 K) = 0.4 eV/f.u.; spin magnetization = 0.000 μB/atom
1.0
-9.274 0.408 0.275
-8.966 -0.147 -2.418
-9.002 -2.211 -0.576
Mo Rh Os
2 1 1
Direct
0.246 0.246 0.246
0.004 0.004 0.004
0.749 0.749 0.749
0.501 0.501 0.501

=====

# 9
CaPt2Rh PBE optimized geometry; ΔH_f (0 K) = -1.3 eV/f.u.; spin magnetization = 0.082 μB/atom
1.0
5.037 -0.009 0.000
1.749 4.723 0.000
-3.395 -2.355 2.881
Ca Pt Rh
1 2 1
Direct
0.250 0.750 0.500
0.000 0.000 0.000
0.500 0.500 0.000
0.750 0.250 0.500

=====

# 10
ReW PBE optimized geometry; ΔH_f (0 K) = 2.7 eV/f.u.; spin magnetization = 0.000 μB/atom
1.0
8.658 0.000 0.000
0.000 8.658 0.000
0.000 0.000 4.805
Re W
8 8
Direct
0.291 0.832 0.500
0.209 0.668 0.000
0.332 0.209 0.000
0.168 0.291 0.500
0.668 0.791 0.000
0.832 0.709 0.500
0.791 0.332 0.000
0.709 0.168 0.500
0.371 0.914 0.000
0.871 0.414 0.500
0.629 0.086 0.000
0.086 0.371 0.000
0.414 0.129 0.500
0.129 0.586 0.500
0.586 0.871 0.500
0.914 0.629 0.000

=====

# 11
Tm4In9Hg11 PBE optimized geometry; ΔH_f (0 K) = -3.0 eV/f.u.; spin magnetization = 0.000 μB/atom
1.0
3.964 0.000 0.000
0.000 12.045 -5.135
0.000 0.011 13.094
Tm In Hg
4 9 11
Direct
0.500 0.583 0.755
0.500 0.245 0.417
0.500 0.755 0.583
0.500 0.417 0.245
0.500 0.801 0.985
0.500 0.985 0.801
0.500 0.199 0.015
0.500 0.615 0.151
0.500 0.500 0.500
0.500 0.849 0.385
0.500 0.151 0.615
0.500 0.015 0.199
0.500 0.385 0.849
0.000 0.593 0.941
0.000 0.000 0.000
0.000 0.059 0.407
0.000 0.624 0.376
0.000 0.407 0.059
0.000 0.813 0.187
0.000 0.376 0.624
0.000 0.226 0.226
0.000 0.941 0.593
0.000 0.774 0.774
0.000 0.187 0.813

=====

# 12
K2SiHg PBE optimized geometry; E_form (uncorrected) = 1.15 eV/f.u.; spin magnetization = 0.000 μB/atom
1.0
4.696 0.000 0.000
0.000 4.794 0.000
0.000 0.000 5.337
Si K Hg
1 2 1
Direct
0.500 0.000 0.500
0.500 0.500 0.000
0.000 0.000 0.000
0.000 0.500 0.500

=====

# 13
Rb3Sm3DyTe8 PBE optimized geometry; E_form (uncorrected) = -19.84 eV/f.u.; spin magnetization = 0.000 μB/atom
1.0
8.961 0.000 0.000
-4.480 7.764 -0.036
0.000 -5.138 8.874
Rb Sm Te Dy
3 3 8 1
Direct
0.500 0.500 0.000
0.000 0.500 0.000
0.000 0.000 0.000
0.500 0.500 0.500
0.000 0.500 0.500
0.500 0.000 0.500
0.768 0.536 0.300
0.737 0.969 0.700
0.232 0.464 0.700
0.735 0.469 0.704
0.263 0.031 0.300
0.768 0.031 0.300
0.265 0.531 0.296
0.232 0.969 0.700
0.000 0.000 0.500

=====

# 14
Ba2PrSnS5 PBE optimized geometry; E_form (uncorrected) = -14.42 eV/f.u.; spin magnetization = 0.000 μB/atom
1.0
4.459 0.000 0.000
-2.229 9.135 0.000
0.000 0.000 12.796
Sn Pr S Ba
2 2 10 4
Direct
0.454 0.908 0.453
0.546 0.092 0.953
0.213 0.426 0.019
0.787 0.574 0.519
0.496 0.992 0.773
0.504 0.008 0.273
0.712 0.424 0.162
0.319 0.639 0.373
0.049 0.098 0.047
0.637 0.274 0.501
0.288 0.576 0.662
0.363 0.726 0.001
0.951 0.902 0.547
0.681 0.361 0.873
0.130 0.260 0.313
0.887 0.774 0.183
0.870 0.740 0.813
0.113 0.226 0.683

=====

# 15
Sn2HgPb2 PBE optimized geometry; ΔH_f (0 K) = 0.3 eV/f.u.; spin magnetization = 0.000 μB/atom
1.0
-0.643 -0.728 3.360
2.520 -4.066 -0.398
5.901 6.248 2.483
Pb Hg Sn
2 1 2
Direct
0.500 0.401 0.802
0.500 0.599 0.198
0.000 0.000 0.000
0.000 0.808 0.616
0.000 0.192 0.384

=====

# 16
Na6TeSI2 PBE optimized geometry; E_form (uncorrected) = -10.34 eV/f.u.; spin magnetization = 0.004 μB/atom
1.0
7.656 0.000 0.000
0.000 8.393 0.000
0.000 0.000 11.111
Na I S Te
12 4 2 2
Direct
0.000 0.805 0.759
0.225 0.406 0.500
0.748 0.017 0.000
0.775 0.406 0.500
0.000 0.805 0.241
0.252 0.017 0.000
0.500 0.195 0.259
0.275 0.594 0.000
0.248 0.983 0.500
0.500 0.195 0.741
0.725 0.594 0.000
0.752 0.983 0.500
0.000 0.184 0.710
0.500 0.816 0.210
0.000 0.184 0.290
0.500 0.816 0.790
0.000 0.789 0.000
0.500 0.211 0.500
0.000 0.698 0.500
0.500 0.302 0.000

=====

# 17
AgTe2Au2 PBE optimized geometry; E_form (uncorrected) = 0.69 eV/f.u.; spin magnetization = 0.000 μB/atom
1.0
-2.526 -1.578 -6.993
-1.608 -7.101 2.183
-3.666 1.157 1.063
Te Au Ag
4 4 2
Direct
0.821 0.321 0.500
0.321 0.179 0.500
0.179 0.679 0.500
0.679 0.821 0.500
0.367 0.867 0.000
0.867 0.633 0.000
0.633 0.133 0.000
0.133 0.367 0.000
0.500 0.500 0.000
0.000 0.000 0.000

=====

# 18
NdY5Tm PBE optimized geometry; ΔH_f (0 K) = 0.8 eV/f.u.; spin magnetization = 0.000 μB/atom
1.0
9.659 0.000 0.000
-4.830 4.379 0.298
0.000 3.920 11.143
Y Nd Tm
10 2 2
Direct
0.973 0.584 0.837
0.233 0.768 0.536
0.389 0.416 0.663
0.767 0.232 0.464
0.157 0.000 0.250
0.843 0.000 0.750
0.611 0.584 0.337
0.027 0.416 0.163
0.465 0.232 0.964
0.535 0.768 0.036
0.494 0.000 0.750
0.506 0.000 0.250
0.000 0.000 0.500
0.000 0.000 0.000

=====

# 19
LiPrDy PBE optimized geometry; ΔH_f (0 K) = 0.4 eV/f.u.; spin magnetization = 0.000 μB/atom
1.0
3.633 0.000 0.000
0.000 3.633 0.000
0.000 0.000 13.503
Pr Li Dy
2 2 2
Direct
0.000 0.500 0.218
0.500 0.000 0.782
0.500 0.500 0.000
0.000 0.000 0.000
0.500 0.000 0.407
0.000 0.500 0.593

=====

# 20
BeInCo2 PBE optimized geometry; ΔH_f (0 K) = 0.8 eV/f.u.; spin magnetization = 0.516 μB/atom
1.0
4.801 0.019 0.067
3.863 2.851 0.067
1.651 0.547 3.735
Co Be In
2 1 1
Direct
0.735 0.735 0.770
0.983 0.983 0.020
0.274 0.274 0.214
0.508 0.508 0.495

=====

# 21
Ba2LiWN4 PBE optimized geometry; E_form (uncorrected) = -4.19 eV/f.u.; spin magnetization = 0.110 μB/atom
1.0
4.867 0.000 0.000
2.434 5.972 0.000
2.434 0.000 9.906
W Ba N Li
2 4 8 2
Direct
0.250 0.500 0.500
0.500 0.000 0.000
0.172 0.000 0.656
0.922 0.500 0.156
0.578 0.500 0.844
0.828 0.000 0.344
0.870 0.688 0.602
0.528 0.312 0.602
0.590 0.188 0.102
0.222 0.188 0.898
0.880 0.812 0.898
0.308 0.812 0.102
0.160 0.312 0.398
0.442 0.688 0.398
0.000 0.000 0.000
0.750 0.500 0.500

=====

# 22
LiCdSn2 PBE optimized geometry; ΔH_f (0 K) = -0.3 eV/f.u.; spin magnetization = 0.000 μB/atom
1.0
-4.214 -2.146 -0.027
-1.323 -2.660 3.679
-3.953 2.508 3.431
Cd Li Sn
1 1 2
Direct
0.492 0.492 0.524
0.682 0.682 0.953
0.268 0.268 0.196
0.058 0.058 0.827

=====

Number 1: mass density 7.32 g/cm3. Number 2: mass density 9.24 g/cm3. Number 3: mass density 10.51 g/cm3. Number 4: mass density 8.51 g/cm3. Number 5: mass density 9.02 g/cm3. Number 6: mass density 6.94 g/cm3. Number 7: mass density 3.21 g/cm3. Number 8: mass density 13.28 g/cm3. Number 9: mass density 12.91 g/cm3. Number 10: mass density 13.65 g/cm3. Number 11: mass density 10.40 g/cm3. Number 12: mass density 4.24 g/cm3. Number 13: mass density 5.10 g/cm3. Number 14: mass density 4.43 g/cm3. Number 15: mass density 9.78 g/cm3. Number 16: mass density 2.56 g/cm3. Number 17: mass density 10.91 g/cm3. Number 18: mass density 5.47 g/cm3. Number 19: mass density 5.78 g/cm3. Number 20: mass density 7.95 g/cm3. Number 21: mass density 6.01 g/cm3. Number 22: mass density 5.97 g/cm3.